Compound: Mg2Ga2Ru
Source: the Alexandria database
Functional: PBE-GGA
Structure: relaxed

Unit cell a=7.6721 b=4.4287 c=5.3679 alpha=90.00 beta=118.36 gamma=90.00
Positions (direct):
Mg (0.2047, 0.0000, 0.1142)
Mg (0.2953, 0.5000, 0.8858)
Mg (0.7047, 0.5000, 0.1142)
Mg (0.7953, 0.0000, 0.8858)
Ga (0.1040, 0.5000, 0.3122)
Ga (0.3960, 0.0000, 0.6878)
Ga (0.6040, 0.0000, 0.3122)
Ga (0.8960, 0.5000, 0.6878)
Ru (0.0000, 0.0000, 0.5000)
Ru (0.5000, 0.5000, 0.5000)

Calculated values
SG   C2/m, No. 12
Magnetic moment   0.0 μB/f.u.
D(E_F)   5.1 states/eV/cell
Calculated total energy   -3.89 eV/atom
Distance to the lowest polymorph of the same formula   0.0 meV per atom
E_form   -0.18 eV/atom